one:
First-principles (PBE-GGA) data for an optimized crystal structure of CaSm4Tm4O12, as listed in Alexandria.

Properties
- spin magnetization (μB/f.u.) = 0.000

Lattice parameters (Å, degrees): 5.8720 8.5435 6.1539 90.00 90.78 90.00
Fractional positions:
1 Ca 0.0000 0.0000 0.0000
2 Sm 0.0723 0.5000 0.8012
3 Sm 0.1703 0.0000 0.5721
4 Sm 0.5212 0.0000 0.1870
5 Sm 0.6303 0.5000 0.3176
6 Tm 0.1053 0.2809 0.2588
7 Tm 0.1053 0.7191 0.2588
8 Tm 0.5864 0.2554 0.7555
9 Tm 0.5864 0.7446 0.7555
10 O 0.2568 0.5000 0.1781
11 O 0.2661 0.1916 0.9339
12 O 0.2661 0.8084 0.9339
13 O 0.4150 0.2018 0.4399
14 O 0.4150 0.7982 0.4399
15 O 0.4473 0.5000 0.6833
16 O 0.6647 0.0000 0.8247
17 O 0.8036 0.3280 0.0478
18 O 0.8036 0.6720 0.0478
19 O 0.8800 0.0000 0.3428
20 O 0.8939 0.3347 0.5476
21 O 0.8939 0.6653 0.5476

two:
First-principles (PBE-GGA) data for an optimized crystal structure of CaSm4Tm4O12, as listed in Alexandria.

Properties
- spin magnetization (μB/f.u.) = 0.000

Lattice parameters (Å, degrees): 5.8757 6.1241 9.3225 86.05 78.99 83.68
Fractional positions:
1 Ca 0.0000 0.0000 0.0000
2 Sm 0.0430 0.8331 0.3392
3 Sm 0.0912 0.5683 0.8398
4 Sm 0.5191 0.1691 0.8360
5 Sm 0.5926 0.2969 0.4106
6 Tm 0.0885 0.1494 0.6274
7 Tm 0.1818 0.3320 0.1774
8 Tm 0.5731 0.6996 0.0802
9 Tm 0.6349 0.6929 0.6527
10 O 0.2544 0.1236 0.3988
11 O 0.2924 0.8865 0.7405
12 O 0.3518 0.0058 0.0804
13 O 0.3658 0.5606 0.2790
14 O 0.3714 0.3974 0.6454
15 O 0.4190 0.4709 0.9774
16 O 0.7602 0.8352 0.8593
17 O 0.7986 0.9993 0.5553
18 O 0.8031 0.5757 0.4400
19 O 0.8357 0.4043 0.7343
20 O 0.8685 0.1354 0.2245
21 O 0.9503 0.6447 0.1070

three:
First-principles (PBE-GGA) data for an optimized crystal structure of CaSm4Tm4O12, as listed in Alexandria.

Properties
- spin magnetization (μB/f.u.) = 0.000

Lattice parameters (Å, degrees): 5.9040 6.1329 9.4413 82.81 78.86 81.13
Fractional positions:
1 Ca 0.0000 0.0000 0.0000
2 Sm 0.0875 0.1639 0.6035
3 Sm 0.1654 0.3560 0.1699
4 Sm 0.5611 0.7110 0.0179
5 Sm 0.6142 0.6922 0.5942
6 Tm 0.0875 0.6243 0.7944
7 Tm 0.1029 0.8311 0.3639
8 Tm 0.5296 0.1970 0.8120
9 Tm 0.6134 0.2766 0.3818
10 O 0.2157 0.7838 0.5773
11 O 0.2992 0.1269 0.3679
12 O 0.3693 0.0544 0.0370
13 O 0.3696 0.4911 0.9175
14 O 0.3856 0.5838 0.2481
15 O 0.4123 0.3570 0.6103
16 O 0.7914 0.0028 0.5099
17 O 0.8089 0.9230 0.8201
18 O 0.8307 0.4320 0.7443
19 O 0.8669 0.5322 0.4053
20 O 0.8935 0.1148 0.2205
21 O 0.9354 0.6335 0.0438

four:
First-principles (PBE-GGA) data for an optimized crystal structure of CaSm4Tm4O12, as listed in Alexandria.

Properties
- spin magnetization (μB/f.u.) = 0.000

Lattice parameters (Å, degrees): 6.4799 7.3958 6.5073 90.00 91.71 90.00
Fractional positions:
1 Ca 0.0000 0.0000 0.0000
2 Sm 0.2842 0.5000 0.8067
3 Sm 0.3587 0.0000 0.6751
4 Sm 0.5822 0.0000 0.1751
5 Sm 0.7295 0.5000 0.1334
6 Tm 0.2023 0.2910 0.3043
7 Tm 0.2023 0.7090 0.3043
8 Tm 0.8034 0.2673 0.6159
9 Tm 0.8034 0.7327 0.6159
10 O 0.0400 0.5000 0.5114
11 O 0.0868 0.5000 0.0920
12 O 0.0983 0.1982 0.7636
13 O 0.0983 0.8018 0.7636
14 O 0.2506 0.0000 0.2942
15 O 0.4525 0.2876 0.0686
16 O 0.4525 0.7124 0.0686
17 O 0.4679 0.2710 0.5320
18 O 0.4679 0.7290 0.5320
19 O 0.6973 0.0000 0.8085
20 O 0.8584 0.2064 0.2797
21 O 0.8584 0.7936 0.2797

Structures ranked by computed energy, the most stable listed first: two, three, four, one.

one:
First-principles (PBE-GGA) data for an optimized crystal structure of CaSn3O, as listed in Alexandria.

Properties
- spin magnetization (μB/f.u.) = 0.006

Lattice parameters (Å, degrees): 5.8246 5.8246 5.8246 90.00 90.00 90.00
Fractional positions:
1 Ca 0.0000 0.0000 0.0000
2 Sn 0.0000 0.0000 0.5000
3 Sn 0.0000 0.5000 0.0000
4 Sn 0.5000 0.0000 0.0000
5 O 0.5000 0.5000 0.5000

two:
First-principles (PBE-GGA) data for an optimized crystal structure of CaSn3O, as listed in Alexandria.

Properties
- spin magnetization (μB/f.u.) = 0.000

Lattice parameters (Å, degrees): 4.9017 4.9017 4.9017 90.00 90.00 90.00
Fractional positions:
1 Ca 0.0000 0.0000 0.0000
2 Sn 0.0000 0.5000 0.5000
3 Sn 0.5000 0.0000 0.5000
4 Sn 0.5000 0.5000 0.0000
5 O 0.5000 0.5000 0.5000

Structures ranked by computed energy, the most stable listed first: two, one.

one:
First-principles (PBE-GGA) data for an optimized crystal structure of Ca2Sn3O8, as listed in Alexandria.

Properties
- spin magnetization (μB/f.u.) = 0.000

Lattice parameters (Å, degrees): 6.5816 6.5816 5.4054 107.79 107.79 58.45
Fractional positions:
1 Ca 0.2190 0.2190 0.1537
2 Ca 0.7810 0.7810 0.8463
3 Sn 0.2381 0.7619 0.5000
4 Sn 0.5000 0.5000 0.0000
5 Sn 0.7619 0.2381 0.5000
6 O 0.1081 0.1081 0.4396
7 O 0.1696 0.6106 0.1028
8 O 0.3894 0.8304 0.8972
9 O 0.3980 0.3980 0.5866
10 O 0.6020 0.6020 0.4134
11 O 0.6106 0.1696 0.1028
12 O 0.8304 0.3894 0.8972
13 O 0.8919 0.8919 0.5604

two:
First-principles (PBE-GGA) data for an optimized crystal structure of Ca2Sn3O8, as listed in Alexandria.

Properties
- spin magnetization (μB/f.u.) = 0.004

Lattice parameters (Å, degrees): 6.4721 6.4721 10.5585 90.00 90.00 120.00
Fractional positions:
1 Ca 0.3333 0.6667 0.0000
2 Ca 0.3333 0.6667 0.3833
3 Ca 0.6667 0.3333 0.5000
4 Ca 0.6667 0.3333 0.8833
5 Sn 0.1642 0.3284 0.7151
6 Sn 0.1642 0.8358 0.7151
7 Sn 0.3284 0.1642 0.2151
8 Sn 0.6716 0.8358 0.7151
9 Sn 0.8358 0.1642 0.2151
10 Sn 0.8358 0.6716 0.2151
11 O 0.0000 0.0000 0.3199
12 O 0.0000 0.0000 0.8199
13 O 0.0466 0.5233 0.8256
14 O 0.1617 0.3233 0.1214
15 O 0.1617 0.8383 0.1214
16 O 0.3233 0.1617 0.6214
17 O 0.3333 0.6667 0.6061
18 O 0.4767 0.5233 0.8256
19 O 0.4767 0.9534 0.8256
20 O 0.5233 0.0466 0.3256
21 O 0.5233 0.4767 0.3256
22 O 0.6667 0.3333 0.1061
23 O 0.6767 0.8383 0.1214
24 O 0.8383 0.1617 0.6214
25 O 0.8383 0.6767 0.6214
26 O 0.9534 0.4767 0.3256

Structures ranked by computed energy, the most stable listed first: one, two.

one:
First-principles (PBE-GGA) data for an optimized crystal structure of SrCaO2, as listed in Alexandria.

Properties
- spin magnetization (μB/f.u.) = 0.000

Lattice parameters (Å, degrees): 6.0955 6.0955 6.0955 90.00 90.00 90.00
Fractional positions:
1 Sr 0.0000 0.0000 0.0000
2 Sr 0.0000 0.5000 0.5000
3 Sr 0.5000 0.0000 0.5000
4 Sr 0.5000 0.5000 0.0000
5 Ca 0.0000 0.0000 0.5000
6 Ca 0.0000 0.5000 0.0000
7 Ca 0.5000 0.0000 0.0000
8 Ca 0.5000 0.5000 0.5000
9 O 0.2500 0.2500 0.2500
10 O 0.2500 0.2500 0.7500
11 O 0.2500 0.7500 0.2500
12 O 0.2500 0.7500 0.7500
13 O 0.7500 0.2500 0.2500
14 O 0.7500 0.2500 0.7500
15 O 0.7500 0.7500 0.2500
16 O 0.7500 0.7500 0.7500

two:
First-principles (PBE-GGA) data for an optimized crystal structure of SrCaO2, as listed in Alexandria.

Properties
- spin magnetization (μB/f.u.) = 0.000

Lattice parameters (Å, degrees): 3.5644 3.5644 5.0378 90.00 90.00 90.00
Fractional positions:
1 Sr 0.0000 0.0000 0.0000
2 Ca 0.5000 0.5000 0.5000
3 O 0.0000 0.0000 0.5000
4 O 0.5000 0.5000 0.0000

three:
First-principles (PBE-GGA) data for an optimized crystal structure of SrCaO2, as listed in Alexandria.

Properties
- spin magnetization (μB/f.u.) = 0.000

Lattice parameters (Å, degrees): 5.0461 5.0461 10.0115 90.00 90.00 90.00
Fractional positions:
1 Sr 0.0000 0.2500 0.3750
2 Sr 0.0000 0.7500 0.6250
3 Sr 0.5000 0.2500 0.1250
4 Sr 0.5000 0.7500 0.8750
5 Ca 0.0000 0.2500 0.8750
6 Ca 0.0000 0.7500 0.1250
7 Ca 0.5000 0.2500 0.6250
8 Ca 0.5000 0.7500 0.3750
9 O 0.0000 0.2500 0.1152
10 O 0.0000 0.2500 0.6348
11 O 0.0000 0.7500 0.3652
12 O 0.0000 0.7500 0.8848
13 O 0.5000 0.2500 0.3848
14 O 0.5000 0.2500 0.8652
15 O 0.5000 0.7500 0.1348
16 O 0.5000 0.7500 0.6152

four:
First-principles (PBE-GGA) data for an optimized crystal structure of SrCaO2, as listed in Alexandria.

Properties
- spin magnetization (μB/f.u.) = 0.000

Lattice parameters (Å, degrees): 5.4616 5.4616 10.7567 90.00 90.00 90.00
Fractional positions:
1 Sr 0.0000 0.0000 0.0000
2 Sr 0.0000 0.5000 0.2500
3 Sr 0.5000 0.0000 0.7500
4 Sr 0.5000 0.5000 0.5000
5 Ca 0.0000 0.0000 0.5000
6 Ca 0.0000 0.5000 0.7500
7 Ca 0.5000 0.0000 0.2500
8 Ca 0.5000 0.5000 0.0000
9 O 0.2272 0.2500 0.6250
10 O 0.2500 0.7272 0.8750
11 O 0.2500 0.7728 0.3750
12 O 0.2728 0.2500 0.1250
13 O 0.7272 0.7500 0.1250
14 O 0.7500 0.2272 0.3750
15 O 0.7500 0.2728 0.8750
16 O 0.7728 0.7500 0.6250

Structures ranked by computed energy, the most stable listed first: three, two, four, one.